1.
Compound: Hf2InMo2
Source: Alexandria via LeMat-Bulk
Functional: PBE-GGA
Structure: relaxed

Summary:
space-group type = P4/mbm
calculated total energy = -87.6 eV/cell
ΔE_f = 0.10 eV per atom

abc: 7.6805 7.6805 3.4139
angles: 90.00 90.00 90.00
Positions (direct):
Hf 0.1897 0.3103 0.0000
Hf 0.3103 0.8103 0.0000
Hf 0.6897 0.1897 0.0000
Hf 0.8103 0.6897 0.0000
In 0.0000 0.0000 0.5000
In 0.5000 0.5000 0.5000
Mo 0.1059 0.6059 0.5000
Mo 0.3941 0.1059 0.5000
Mo 0.6059 0.8941 0.5000
Mo 0.8941 0.3941 0.5000

=====

2.
Compound: Tl2ReOs
Source: Alexandria via LeMat-Bulk
Functional: PBE-GGA
Structure: relaxed

Summary:
distance to the lowest polymorph of the same formula = 70.35 kJ/mol of atoms
space-group type = Cmmm
calculated total energy = -46.9 eV/cell
ΔE_f = 1.24 eV per atom

abc: 3.0680 5.1998 9.4184
angles: 90.00 90.00 90.00
Positions (direct):
Tl 0.0000 0.0000 0.2467
Tl 0.0000 0.0000 0.7533
Tl 0.5000 0.5000 0.2467
Tl 0.5000 0.5000 0.7533
Re 0.0000 0.5000 0.5000
Re 0.5000 0.0000 0.5000
Os 0.0000 0.5000 0.0000
Os 0.5000 0.0000 0.0000

=====

3.
Compound: ThNi3
Source: Alexandria via LeMat-Bulk
Functional: PBE-GGA
Structure: relaxed

Summary:
space-group type = P6_3/mmc
calculated total energy = -158.9 eV/cell
ΔE_f = -0.43 eV per atom

abc: 5.0059 5.0059 16.7975
angles: 90.00 90.00 120.00
Positions (direct):
Th 0.3333 0.6667 0.0446
Th 0.3333 0.6667 0.2500
Th 0.3333 0.6667 0.4554
Th 0.6667 0.3333 0.5446
Th 0.6667 0.3333 0.7500
Th 0.6667 0.3333 0.9554
Ni 0.0000 0.0000 0.0000
Ni 0.0000 0.0000 0.2500
Ni 0.0000 0.0000 0.5000
Ni 0.0000 0.0000 0.7500
Ni 0.1667 0.3333 0.6277
Ni 0.1667 0.3333 0.8723
Ni 0.1667 0.8333 0.6277
Ni 0.1667 0.8333 0.8723
Ni 0.3333 0.1667 0.1277
Ni 0.3333 0.1667 0.3723
Ni 0.3333 0.6667 0.7500
Ni 0.6667 0.3333 0.2500
Ni 0.6667 0.8333 0.6277
Ni 0.6667 0.8333 0.8723
Ni 0.8333 0.1667 0.1277
Ni 0.8333 0.1667 0.3723
Ni 0.8333 0.6667 0.1277
Ni 0.8333 0.6667 0.3723

=====

4.
Compound: SrNdCu2
Source: Alexandria via LeMat-Bulk
Functional: PBE-GGA
Structure: relaxed

Summary:
distance to the lowest polymorph of the same formula = 0.00 kJ/mol of atoms
space-group type = P4/mmm
calculated total energy = -15.0 eV/cell
ΔE_f = -0.08 eV per atom

abc: 3.6967 3.6967 7.3731
angles: 90.00 90.00 90.00
Positions (direct):
Sr 0.0000 0.0000 0.0000
Nd 0.0000 0.0000 0.5000
Cu 0.5000 0.5000 0.2971
Cu 0.5000 0.5000 0.7029

=====

5.
Compound: YCo2Au
Source: Alexandria via LeMat-Bulk
Functional: PBE-GGA
Structure: relaxed

Summary:
distance to the lowest polymorph of the same formula = 16.89 kJ/mol of atoms
space-group type = I-4m2
calculated total energy = -48.2 eV/cell
ΔE_f = -0.03 eV per atom

abc: 3.9788 3.9788 8.3397
angles: 90.00 90.00 90.00
Positions (direct):
Y 0.0000 0.0000 0.0000
Y 0.5000 0.5000 0.5000
Co 0.0000 0.0000 0.5000
Co 0.0000 0.5000 0.2500
Co 0.5000 0.0000 0.7500
Co 0.5000 0.5000 0.0000
Au 0.0000 0.5000 0.7500
Au 0.5000 0.0000 0.2500

=====

6.
Compound: AcCuNiAs2
Source: Alexandria via LeMat-Bulk
Functional: PBE-GGA
Structure: relaxed

Summary:
space-group type = I-4m2
calculated total energy = -53.6 eV/cell
ΔE_f = -0.70 eV per atom

abc: 4.1686 4.1686 11.1289
angles: 90.00 90.00 90.00
Positions (direct):
Ac 0.0000 0.0000 0.0000
Ac 0.5000 0.5000 0.5000
Cu 0.0000 0.5000 0.7500
Cu 0.5000 0.0000 0.2500
Ni 0.0000 0.5000 0.2500
Ni 0.5000 0.0000 0.7500
As 0.0000 0.0000 0.3624
As 0.0000 0.0000 0.6376
As 0.5000 0.5000 0.1376
As 0.5000 0.5000 0.8624

=====

What did the second record say?
Compound: Tl2ReOs
Source: Alexandria via LeMat-Bulk
Functional: PBE-GGA
Structure: relaxed

Summary:
distance to the lowest polymorph of the same formula = 70.35 kJ/mol of atoms
space-group type = Cmmm
calculated total energy = -46.9 eV/cell
ΔE_f = 1.24 eV per atom

abc: 3.0680 5.1998 9.4184
angles: 90.00 90.00 90.00
Positions (direct):
Tl 0.0000 0.0000 0.2467
Tl 0.0000 0.0000 0.7533
Tl 0.5000 0.5000 0.2467
Tl 0.5000 0.5000 0.7533
Re 0.0000 0.5000 0.5000
Re 0.5000 0.0000 0.5000
Os 0.0000 0.5000 0.0000
Os 0.5000 0.0000 0.0000

=====

Question: The highest ΔE_f belongs to which entry?
Answer: Tl2ReOs